Entry from OQMD via LeMat-Bulk: a geometry-optimized KZr2 structure (GGA-PBE).

Cell: 11.2150 11.2150 11.2150 Å, 90.00 90.00 90.00°
Space group Fd-3m (No. 227, origin choice 2)
Asymmetric unit:
K  0.1250  0.1250  0.1250
Zr  0.0000  0.0000  0.0000

Properties
Magnetic moment (Bohr magnetons per cell): 6.97
Calculated total energy (eV per atom): -1.882
Crystal system: cubic

---

Entry from OQMD via LeMat-Bulk: a geometry-optimized La structure (GGA-PBE).

Cell: 3.7185 6.5938 6.0811 Å, 90.00 90.00 90.00°
Space group Cmcm (No. 63)
Asymmetric unit:
La  0.0000  0.1467  0.2500

Properties
Magnetic moment (Bohr magnetons per cell): 0.02
Calculated total energy (eV per atom): -4.895
Crystal system: orthorhombic

---

Entry from OQMD via LeMat-Bulk: a geometry-optimized La structure (GGA-PBE).

Cell: 6.1521 6.1521 3.6933 Å, 90.00 90.00 90.00°
Space group I4_1/amd (No. 141, origin choice 2)
Asymmetric unit:
La  0.0000  0.2500  0.3750

Properties
Magnetic moment (Bohr magnetons per cell): 0.00
Calculated total energy (eV per atom): -4.664
Crystal system: tetragonal

---

Entry from OQMD via LeMat-Bulk: a geometry-optimized La structure (GGA-PBE).

Cell: 3.6989 3.6989 8.8815 Å, 90.00 90.00 120.00°
Space group R-3m (No. 166, hexagonal axes)
Asymmetric unit:
La  0.0000  0.0000  0.0000

Properties
Magnetic moment (Bohr magnetons per cell): 0.03
Calculated total energy (eV per atom): -4.915
Crystal system: trigonal

---

Entry from OQMD via LeMat-Bulk: a geometry-optimized La structure (GGA-PBE).

Cell: 3.7609 3.7609 27.0885 Å, 90.00 90.00 120.00°
Space group R-3m (No. 166, hexagonal axes)
Asymmetric unit:
La  0.0000  0.0000  0.0000
La  0.0000  0.0000  0.2230

Properties
Magnetic moment (Bohr magnetons per cell): 0.01
Calculated total energy (eV per atom): -4.921
Crystal system: trigonal

---

Entry from OQMD via LeMat-Bulk: a geometry-optimized La structure (GGA-PBE).

Cell: 5.2684 5.2684 5.2684 Å, 90.00 90.00 90.00°
Space group Fm-3m (No. 225)
Asymmetric unit:
La  0.0000  0.0000  0.0000

Properties
Magnetic moment (Bohr magnetons per cell): 0.05
Calculated total energy (eV per atom): -4.923
Crystal system: cubic

---

Entry from OQMD via LeMat-Bulk: a geometry-optimized La structure (GGA-PBE).

Cell: 12.7703 12.7703 12.7703 Å, 90.00 90.00 90.00°
Space group I-43m (No. 217)
Asymmetric unit:
La  0.0000  0.0000  0.0000
La  0.0436  0.3652  0.3652
La  0.0934  0.0934  0.2797
La  0.1817  0.1817  0.8183

Properties
Magnetic moment (Bohr magnetons per cell): 0.86
Calculated total energy (eV per atom): -4.823
Crystal system: cubic

---

Entry from OQMD via LeMat-Bulk: a geometry-optimized La structure (GGA-PBE).

Cell: 3.7648 3.7648 6.0690 Å, 90.00 90.00 120.00°
Space group P6_3/mmc (No. 194)
Asymmetric unit:
La  0.3333  0.6667  0.2500

Properties
Magnetic moment (Bohr magnetons per cell): 0.01
Calculated total energy (eV per atom): -4.898
Crystal system: hexagonal